{
  "formula": "TcW2Au",
  "functional": "GGA-PBE",
  "state": "relaxed",
  "vol_a3_per_fu": 63,
  "spacegroup": "I4/mmm (139)",
  "magnetic_moment_mub_per_cell": 0.0,
  "delta_e_f_ev_per_atom": 0.2274,
  "lattice": [[-1.9886, 1.9886, 4.0078], [1.9886, -1.9886, 4.0078], [1.9886, 1.9886, -4.0078]],
  "species": ["Tc", "W", "W", "Au"],
  "fractional_positions": [[0.0000, 0.0000, 0.0000], [0.2500, 0.7500, 0.5000], [0.7500, 0.2500, 0.5000], [0.5000, 0.5000, 0.0000]]
}

{
  "formula": "Ga2Fe13",
  "functional": "GGA-PBE",
  "state": "relaxed",
  "vol_a3_per_fu": 182,
  "spacegroup": "P-1 (2)",
  "magnetic_moment_mub_per_cell": 30.5,
  "delta_e_f_ev_per_atom": 0.0392,
  "lattice": [[6.2676, 0.0000, 0.0000], [-3.0885, 5.5447, 0.0000], [-0.0394, -3.5874, 5.2478]],
  "species": ["Ga", "Ga", "Fe", "Fe", "Fe", "Fe", "Fe", "Fe", "Fe", "Fe", "Fe", "Fe", "Fe", "Fe", "Fe"],
  "fractional_positions": [[0.1921, 0.2978, 0.1344], [0.8079, 0.7022, 0.8656], [0.0000, 0.5000, 0.0000], [0.0675, 0.6793, 0.4548], [0.1211, 0.0099, 0.3348], [0.2782, 0.8912, 0.9299], [0.3323, 0.4402, 0.8153], [0.4341, 0.6686, 0.5900], [0.4642, 0.8397, 0.2774], [0.5358, 0.1603, 0.7226], [0.5659, 0.3314, 0.4100], [0.6677, 0.5598, 0.1847], [0.7218, 0.1088, 0.0701], [0.8789, 0.9901, 0.6652], [0.9325, 0.3207, 0.5452]]
}

{
  "formula": "PrNd5Sm2Tm",
  "functional": "GGA-PBE",
  "state": "relaxed",
  "vol_a3_per_fu": 315,
  "spacegroup": "I4/mcm (140)",
  "magnetic_moment_mub_per_cell": 0.0,
  "delta_e_f_ev_per_atom": 0.2819,
  "lattice": [[-4.5035, 4.5035, 7.7670], [4.5035, -4.5035, 7.7670], [4.5035, 4.5035, -7.7670]],
  "species": ["Pr", "Pr", "Nd", "Nd", "Nd", "Nd", "Nd", "Nd", "Nd", "Nd", "Nd", "Nd", "Sm", "Sm", "Sm", "Sm", "Tm", "Tm"],
  "fractional_positions": [[0.2500, 0.2500, 0.0000], [0.7500, 0.7500, 0.0000], [0.0000, 0.0000, 0.0000], [0.0709, 0.5709, 0.9162], [0.1547, 0.0709, 0.5000], [0.3453, 0.8453, 0.9162], [0.4291, 0.3453, 0.5000], [0.5000, 0.5000, 0.0000], [0.5709, 0.6547, 0.5000], [0.6547, 0.1547, 0.0838], [0.8453, 0.9291, 0.5000], [0.9291, 0.4291, 0.0838], [0.1149, 0.3851, 0.5000], [0.3851, 0.8851, 0.2702], [0.6149, 0.1149, 0.7298], [0.8851, 0.6149, 0.5000], [0.2500, 0.7500, 0.5000], [0.7500, 0.2500, 0.5000]]
}

{
  "formula": "Mg4NiPt2",
  "functional": "GGA-PBE",
  "state": "relaxed",
  "vol_a3_per_fu": 122,
  "spacegroup": "R-3m (166)",
  "magnetic_moment_mub_per_cell": 0.0,
  "delta_e_f_ev_per_atom": -0.5888,
  "lattice": [[2.2251, 1.2846, 7.0893], [-2.2251, 1.2846, 7.0893], [0.0000, -2.5693, 7.0893]],
  "species": ["Mg", "Mg", "Mg", "Mg", "Ni", "Pt", "Pt"],
  "fractional_positions": [[0.1193, 0.1193, 0.1193], [0.3722, 0.3722, 0.3722], [0.6278, 0.6278, 0.6278], [0.8807, 0.8807, 0.8807], [0.5000, 0.5000, 0.5000], [0.2448, 0.2448, 0.2448], [0.7552, 0.7552, 0.7552]]
}

{
  "formula": "CePaTl2",
  "functional": "GGA-PBE",
  "state": "relaxed",
  "vol_a3_per_fu": 114,
  "spacegroup": "Fm-3m (225)",
  "magnetic_moment_mub_per_cell": 2.6,
  "delta_e_f_ev_per_atom": 0.1346,
  "lattice": [[0.0000, 3.8457, 3.8457], [3.8457, 0.0000, 3.8457], [3.8457, 3.8457, 0.0000]],
  "species": ["Ce", "Pa", "Tl", "Tl"],
  "fractional_positions": [[0.0000, 0.0000, 0.0000], [0.5000, 0.5000, 0.5000], [0.2500, 0.2500, 0.2500], [0.7500, 0.7500, 0.7500]]
}

{
  "formula": "FeOs2Rh",
  "functional": "GGA-PBE",
  "state": "relaxed",
  "vol_a3_per_fu": 56,
  "spacegroup": "F-43m (216)",
  "magnetic_moment_mub_per_cell": 1.9,
  "delta_e_f_ev_per_atom": 0.4420,
  "lattice": [[0.0000, 3.0446, 3.0446], [3.0446, 0.0000, 3.0446], [3.0446, 3.0446, 0.0000]],
  "species": ["Fe", "Os", "Os", "Rh"],
  "fractional_positions": [[0.0000, 0.0000, 0.0000], [0.2500, 0.2500, 0.2500], [0.5000, 0.5000, 0.5000], [0.7500, 0.7500, 0.7500]]
}

{
  "formula": "TaRe2B2",
  "functional": "GGA-PBE",
  "state": "relaxed",
  "vol_a3_per_fu": 65,
  "spacegroup": "I4/mmm (139)",
  "magnetic_moment_mub_per_cell": 0.0,
  "delta_e_f_ev_per_atom": 0.2234,
  "lattice": [[-2.0137, 2.0137, 3.9829], [2.0137, -2.0137, 3.9829], [2.0137, 2.0137, -3.9829]],
  "species": ["Ta", "Re", "Re", "B", "B"],
  "fractional_positions": [[0.0000, 0.0000, 0.0000], [0.3476, 0.3476, 0.0000], [0.6524, 0.6524, 0.0000], [0.2500, 0.7500, 0.5000], [0.7500, 0.2500, 0.5000]]
}

{
  "formula": "Pm2CoReN5",
  "functional": "GGA-PBE",
  "state": "relaxed",
  "vol_a3_per_fu": 112,
  "spacegroup": "Cmc2_1 (36)",
  "magnetic_moment_mub_per_cell": 0.0,
  "formation_energy_uncorrected_mev_per_atom": -520,
  "lattice": [[1.6353, -7.0393, 0.0000], [1.6353, 7.0393, 0.0000], [0.0000, 0.0000, 9.7715]],
  "species": ["Pm", "Pm", "Pm", "Pm", "Co", "Co", "Re", "Re", "N", "N", "N", "N", "N", "N", "N", "N", "N", "N"],
  "fractional_positions": [[0.1178, 0.8822, 0.5000], [0.1196, 0.8804, 0.1190], [0.8804, 0.1196, 0.6190], [0.8822, 0.1178, 0.0000], [0.4392, 0.5608, 0.2614], [0.5608, 0.4392, 0.7614], [0.2069, 0.7931, 0.8201], [0.7931, 0.2069, 0.3201], [0.0280, 0.9720, 0.8236], [0.3052, 0.6948, 0.4497], [0.3151, 0.6849, 0.1790], [0.3369, 0.6631, 0.8111], [0.4960, 0.5040, 0.0873], [0.5040, 0.4960, 0.5873], [0.6631, 0.3369, 0.3111], [0.6849, 0.3151, 0.6790], [0.6948, 0.3052, 0.9497], [0.9720, 0.0280, 0.3236]]
}

Please write out number 5 again, unchanged.
{
  "formula": "CePaTl2",
  "functional": "GGA-PBE",
  "state": "relaxed",
  "vol_a3_per_fu": 114,
  "spacegroup": "Fm-3m (225)",
  "magnetic_moment_mub_per_cell": 2.6,
  "delta_e_f_ev_per_atom": 0.1346,
  "lattice": [[0.0000, 3.8457, 3.8457], [3.8457, 0.0000, 3.8457], [3.8457, 3.8457, 0.0000]],
  "species": ["Ce", "Pa", "Tl", "Tl"],
  "fractional_positions": [[0.0000, 0.0000, 0.0000], [0.5000, 0.5000, 0.5000], [0.2500, 0.2500, 0.2500], [0.7500, 0.7500, 0.7500]]
}